[1]
Computed, not measured: a geometry-optimized CdHgBr structure at the PBE level of DFT.

As for the crystal system: trigonal. For the relative energy among the computed polymorphs, the calculation gives 0 meV/atom. The formation energy without anion corrections is -297 meV/atom. The density of states at the Fermi level is 0.7 states/eV/f.u.

The space group is P3m1 (No. 156) and the conventional cell measures 4.2046, 4.2046 and 5.8570 Å, with angles of 90.00, 90.00 and 120.00 degrees. The asymmetric unit holds Cd at (0.0000, 0.0000, 0.0000), Hg at (0.6667, 0.3333, 0.2790) and Br at (0.3333, 0.6667, 0.7080).

***

[2]
Computed, not measured: a geometry-optimized LaCN2F structure at the PBE level of DFT.

As for the crystal system: orthorhombic. For the relative energy among the computed polymorphs, the calculation gives 0 meV/atom. The formation energy without anion corrections is -1699 meV/atom. The density of states at the Fermi level is 0.0 states/eV/f.u.

The space group is Cmcm (No. 63) and the conventional cell measures 3.868, 8.842 and 7.882 Å, with angles of 90.00, 90.00 and 90.00 degrees. The asymmetric unit holds La at (0.000, 0.223, 0.250), C at (0.000, 0.500, 0.000), N at (0.000, 0.369, 0.553) and F at (0.000, 0.087, 0.750).

***

[3]
Computed, not measured: a geometry-optimized Sc2PbBr structure at the PBE level of DFT.

As for the crystal system: tetragonal. For the relative energy among the computed polymorphs, the calculation gives 123 meV/atom. The formation energy without anion corrections is -484 meV/atom. The density of states at the Fermi level is 3.8 states/eV/f.u.

The space group is P4/mmm (No. 123) and the conventional cell measures 3.412, 3.412 and 7.807 Å, with angles of 90.00, 90.00 and 90.00 degrees. The asymmetric unit holds Sc at (0.000, 0.000, 0.243), Pb at (0.500, 0.500, 0.500) and Br at (0.500, 0.500, 0.000).

***

Q: Which formula does entry 1 have?
A: CdHgBr